A plane-wave DFT calculation with PBE was carried out for crystalline CdPtW2 at its relaxed geometry.

Values from the calculation:
**Total energy**: -124.8 eV per cell
**Density of states at the Fermi level**: 0.630 states/eV per atom
**Mass density**: 16.599 g/cm³

Cell: 6.4646 6.4646 6.4646 Å, 90.00 90.00 90.00°
Space group F-43m (No. 216)
Unique sites:
Cd: 0.0000 0.0000 0.0000
Pt: 0.2500 0.2500 0.7500
W: 0.0000 0.0000 0.5000
W: 0.2500 0.2500 0.2500